No. 1
Compound: TbCe2DySe6
Source: Alexandria
Functional: GGA-PBE
Structure: optimized geometry

Properties
Calculated volume = 30.8 Å³/atom
Theoretical density = 5.805 g cm⁻³
E_form (uncorrected) = -1.80 eV per atom
SG = R3, No. 146
DFT total energy = -60.0 eV/f.u.

POSCAR file:
```
TbCe2DySe6
1.0
-0.1880 2.6203 6.8989
4.5310 -2.7729 5.1264
5.9452 4.3997 2.4408
Se Dy Ce Tb
6 1 2 1
direct
0.1047 0.4344 0.7559
0.2043 0.9329 0.2566
0.9329 0.6061 0.2567
0.4344 0.7050 0.7558
0.7050 0.1047 0.7559
0.6061 0.2043 0.2566
0.8183 0.8183 0.5452
0.0190 0.0190 0.9429
0.5188 0.5188 0.4435
0.3180 0.3180 0.0460
```



No. 2
Compound: Sr2Pb3O8
Source: Alexandria
Functional: GGA-PBE
Structure: optimized geometry

Properties
Calculated volume = 17.0 Å³/atom
Theoretical density = 6.942 g cm⁻³
E_form (uncorrected) = -1.57 eV per atom
SG = C2/m, No. 12
DFT total energy = -74.5 eV/f.u.

POSCAR file:
```
Sr2Pb3O8
1.0
-0.6998 2.9267 -4.8516
-5.3657 -3.8880 -1.5715
-0.4848 4.4800 5.3271
Pb O Sr
3 8 2
direct
0.5000 0.0000 0.0000
0.0000 0.2611 0.0000
0.0000 0.7389 0.0000
0.3976 0.3281 0.2193
0.6024 0.1088 0.7807
0.9151 0.1024 0.2048
0.3976 0.8912 0.2193
0.6024 0.6719 0.7807
0.0484 0.3901 0.7802
0.9516 0.6099 0.2198
0.0849 0.8976 0.7952
0.6566 0.7188 0.4376
0.3434 0.2812 0.5624
```